Entry 1:
A plane-wave DFT calculation with GGA-PBE was carried out for crystalline MnBTe2I at its relaxed geometry.

```
data_MnBTe2I
_symmetry_space_group_name_H-M 'P 4/m m m'
_symmetry_Int_Tables_number 123
_symmetry_space_group_name_Hall '-P 4 2'
_cell_length_a 4.774
_cell_length_b 4.774
_cell_length_c 4.839
_cell_angle_alpha 90.00
_cell_angle_beta 90.00
_cell_angle_gamma 90.00
loop_
_atom_site_label
_atom_site_fract_x
_atom_site_fract_y
_atom_site_fract_z
Mn1 0.000 0.000 0.000
B1 0.500 0.500 0.500
Te1 0.000 0.500 0.500
I1 0.500 0.500 0.000
```

Energy above the most stable polymorph in this dataset in meV per atom: 0
Crystal system: tetragonal
Theoretical density in Mg/m³: 6.743


Entry 2:
A plane-wave DFT calculation with GGA-PBE was carried out for crystalline B3MoI at its relaxed geometry.

```
data_B3MoI
_symmetry_space_group_name_H-M 'P m -3 m'
_symmetry_Int_Tables_number 221
_symmetry_space_group_name_Hall '-P 4 2 3'
_cell_length_a 4.369
_cell_length_b 4.369
_cell_length_c 4.369
_cell_angle_alpha 90.00
_cell_angle_beta 90.00
_cell_angle_gamma 90.00
loop_
_atom_site_label
_atom_site_fract_x
_atom_site_fract_y
_atom_site_fract_z
B1 0.000 0.000 0.500
Mo1 0.000 0.000 0.000
I1 0.500 0.500 0.500
```

Energy above the most stable polymorph in this dataset in meV per atom: 0
Crystal system: cubic
Theoretical density in Mg/m³: 5.082


Entry 3:
A plane-wave DFT calculation with GGA-PBE was carried out for crystalline B3MoI at its relaxed geometry.

```
data_B3MoI
_symmetry_space_group_name_H-M 'P m -3 m'
_symmetry_Int_Tables_number 221
_symmetry_space_group_name_Hall '-P 4 2 3'
_cell_length_a 4.276
_cell_length_b 4.276
_cell_length_c 4.276
_cell_angle_alpha 90.00
_cell_angle_beta 90.00
_cell_angle_gamma 90.00
loop_
_atom_site_label
_atom_site_fract_x
_atom_site_fract_y
_atom_site_fract_z
B1 0.000 0.000 0.500
Mo1 0.500 0.500 0.500
I1 0.000 0.000 0.000
```

Energy above the most stable polymorph in this dataset in meV per atom: 1285
Crystal system: cubic
Theoretical density in Mg/m³: 5.421


Entry 4:
A plane-wave DFT calculation with GGA-PBE was carried out for crystalline BMoI2N at its relaxed geometry.

```
data_BMoI2N
_symmetry_space_group_name_H-M 'P 4/m m m'
_symmetry_Int_Tables_number 123
_symmetry_space_group_name_Hall '-P 4 2'
_cell_length_a 6.451
_cell_length_b 6.451
_cell_length_c 2.787
_cell_angle_alpha 90.00
_cell_angle_beta 90.00
_cell_angle_gamma 90.00
loop_
_atom_site_label
_atom_site_fract_x
_atom_site_fract_y
_atom_site_fract_z
B1 0.000 0.000 0.000
Mo1 0.500 0.500 0.500
I1 0.000 0.500 0.000
N1 0.000 0.000 0.500
```

Energy above the most stable polymorph in this dataset in meV per atom: 0
Crystal system: tetragonal
Theoretical density in Mg/m³: 5.362


Entry 5:
A plane-wave DFT calculation with GGA-PBE was carried out for crystalline BMoI2N at its relaxed geometry.

```
data_BMoI2N
_symmetry_space_group_name_H-M 'P 4/m m m'
_symmetry_Int_Tables_number 123
_symmetry_space_group_name_Hall '-P 4 2'
_cell_length_a 5.625
_cell_length_b 5.625
_cell_length_c 3.829
_cell_angle_alpha 90.00
_cell_angle_beta 90.00
_cell_angle_gamma 90.00
loop_
_atom_site_label
_atom_site_fract_x
_atom_site_fract_y
_atom_site_fract_z
B1 0.000 0.000 0.000
Mo1 0.500 0.500 0.500
I1 0.000 0.500 0.500
N1 0.500 0.500 0.000
```

Energy above the most stable polymorph in this dataset in meV per atom: 322
Crystal system: tetragonal
Theoretical density in Mg/m³: 5.133


Entry 6:
A plane-wave DFT calculation with GGA-PBE was carried out for crystalline BMoIN2 at its relaxed geometry.

```
data_BMoIN2
_symmetry_space_group_name_H-M 'P 4/m m m'
_symmetry_Int_Tables_number 123
_symmetry_space_group_name_Hall '-P 4 2'
_cell_length_a 3.904
_cell_length_b 3.904
_cell_length_c 5.799
_cell_angle_alpha 90.00
_cell_angle_beta 90.00
_cell_angle_gamma 90.00
loop_
_atom_site_label
_atom_site_fract_x
_atom_site_fract_y
_atom_site_fract_z
B1 0.000 0.000 0.000
Mo1 0.500 0.500 0.500
I1 0.500 0.500 0.000
N1 0.000 0.500 0.500
```

Energy above the most stable polymorph in this dataset in meV per atom: 0
Crystal system: tetragonal
Theoretical density in Mg/m³: 4.916


Entry 7:
A plane-wave DFT calculation with GGA-PBE was carried out for crystalline BMoIN2 at its relaxed geometry.

```
data_BMoIN2
_symmetry_space_group_name_H-M 'P 4/m m m'
_symmetry_Int_Tables_number 123
_symmetry_space_group_name_Hall '-P 4 2'
_cell_length_a 3.807
_cell_length_b 3.807
_cell_length_c 4.523
_cell_angle_alpha 90.00
_cell_angle_beta 90.00
_cell_angle_gamma 90.00
loop_
_atom_site_label
_atom_site_fract_x
_atom_site_fract_y
_atom_site_fract_z
B1 0.000 0.000 0.000
Mo1 0.500 0.500 0.500
I1 0.000 0.000 0.500
N1 0.000 0.500 0.000
```

Energy above the most stable polymorph in this dataset in meV per atom: 830
Crystal system: tetragonal
Theoretical density in Mg/m³: 6.629


Q: The highest theoretical density belongs to which entry?
A: MnBTe2I


Q: The highest theoretical density belongs to which entry?
A: MnBTe2I


Q: Among the records above, which one has the highest energy above the most stable polymorph in this dataset?
A: number 3


Q: Number 4 is which compound?
A: BMoI2N